Entry 1:
LiPrPu after structural relaxation. Source: Alexandria, functional PBE.

```
LiPrPu
1.0
-1.584 -0.866 -2.895
-2.497 -1.466 1.805
-1.574 7.445 0.645
Pr Li Pu
1 1 1
direct
0.663 0.663 0.325
0.996 0.996 0.992
0.341 0.341 0.683
```

Total magnetization   6.18 μB/f.u.
Space-group type   I4mm, No. 107
Energy of formation from the pure elements   0.261 eV/atom

Entry 2:
LaFe2Os after structural relaxation. Source: Alexandria, functional PBE.

```
LaFe2Os
1.0
3.296 0.000 0.000
0.000 4.729 0.000
0.000 0.000 4.393
La Fe Os
1 2 1
direct
0.500 0.000 0.500
0.500 0.500 0.000
0.000 0.000 0.000
0.000 0.500 0.500
```

Total magnetization   5.38 μB/f.u.
Space-group type   Pmmm, No. 47
Energy of formation from the pure elements   0.567 eV/atom

Entry 3:
Ca2YRh after structural relaxation. Source: Alexandria, functional PBE.

```
Ca2YRh
1.0
6.272 -0.001 0.000
3.248 5.366 0.000
-4.760 -2.683 3.080
Ca Rh Y
2 1 1
direct
0.000 0.000 0.000
0.500 0.500 0.000
0.250 0.750 0.500
0.750 0.250 0.500
```

Total magnetization   0.00 μB/f.u.
Space-group type   I4/mmm, No. 139
Energy of formation from the pure elements   -0.038 eV/atom

Entry 4:
BaBe3I after structural relaxation. Source: Alexandria, functional PBE.

```
BaBe3I
1.0
-5.803 -0.090 -2.363
2.016 -3.461 -4.820
-1.236 -5.224 3.234
Be I Ba
3 1 1
direct
0.000 0.000 0.500
0.500 0.000 0.000
0.000 0.500 0.000
0.500 0.500 0.500
0.000 0.000 0.000
```

Total magnetization   0.57 μB/f.u.
Space-group type   Pm-3m, No. 221
ΔE_f (raw)   171.0 kJ/mol of atoms

Entry 5:
ZnH20S2N2O14 after structural relaxation. Source: Alexandria, functional PBE.

```
ZnH20S2N2O14
1.0
6.132 0.027 0.000
-1.658 8.646 0.000
0.000 0.000 14.006
O H N Zn S
28 40 4 2 4
direct
0.086 0.296 0.566
0.648 0.287 0.930
0.086 0.796 0.934
0.345 0.629 0.236
0.648 0.787 0.570
0.743 0.563 0.889
0.791 0.345 0.399
0.002 0.888 0.644
0.002 0.388 0.856
0.209 0.655 0.601
0.914 0.704 0.434
0.257 0.937 0.389
0.998 0.112 0.356
0.209 0.155 0.899
0.743 0.063 0.611
0.914 0.204 0.066
0.727 0.491 0.590
0.655 0.371 0.764
0.727 0.991 0.910
0.273 0.509 0.410
0.345 0.129 0.264
0.998 0.612 0.144
0.352 0.713 0.070
0.273 0.009 0.090
0.791 0.845 0.101
0.352 0.213 0.430
0.655 0.871 0.736
0.257 0.437 0.111
0.824 0.248 0.017
0.176 0.252 0.517
0.292 0.723 0.837
0.672 0.862 0.232
0.672 0.362 0.268
0.212 0.031 0.674
0.955 0.713 0.920
0.126 0.740 0.616
0.277 0.050 0.156
0.723 0.450 0.656
0.176 0.752 0.983
0.328 0.638 0.732
0.723 0.950 0.844
0.317 0.906 0.093
0.126 0.240 0.884
0.788 0.469 0.174
0.212 0.531 0.826
0.510 0.887 0.329
0.788 0.969 0.326
0.874 0.760 0.116
0.955 0.213 0.580
0.490 0.113 0.671
0.874 0.260 0.384
0.328 0.138 0.768
0.045 0.787 0.420
0.644 0.293 0.423
0.708 0.777 0.337
0.356 0.207 0.923
0.510 0.387 0.171
0.708 0.277 0.163
0.277 0.550 0.344
0.356 0.707 0.577
0.644 0.793 0.077
0.317 0.406 0.407
0.683 0.094 0.907
0.045 0.287 0.080
0.824 0.748 0.483
0.292 0.223 0.663
0.683 0.594 0.593
0.490 0.613 0.829
0.667 0.374 0.194
0.667 0.874 0.306
0.333 0.126 0.694
0.333 0.626 0.806
0.000 0.500 0.500
0.000 0.000 0.000
0.237 0.596 0.142
0.763 0.904 0.642
0.763 0.404 0.858
0.237 0.096 0.358
```

Total magnetization   0.24 μB/f.u.
Space-group type   P2_1/c, No. 14
Total DFT energy (no corrections)   -5.213 eV per atom

Entry 6:
Hf8In2Sn after structural relaxation. Source: Alexandria, functional PBE.

```
Hf8In2Sn
1.0
-3.631 2.472 2.996
-2.233 -7.495 0.463
6.744 2.346 3.224
Sn Hf In
1 8 2
direct
0.500 0.000 0.000
0.294 0.586 0.586
0.706 0.414 0.414
0.163 0.098 0.319
0.837 0.902 0.681
0.500 0.782 0.218
0.837 0.681 0.902
0.500 0.218 0.782
0.163 0.319 0.098
0.000 0.695 0.305
0.000 0.305 0.695
```

Total magnetization   0.00 μB/f.u.
Space-group type   C2/m, No. 12
Energy of formation from the pure elements   0.057 eV/atom

Entry 7:
PCBr2 after structural relaxation. Source: Alexandria, functional PBE.

```
PCBr2
1.0
0.511 -8.807 0.763
3.216 -7.885 2.428
0.276 -7.924 3.942
C Br P
1 2 1
direct
0.000 0.000 0.000
0.069 0.069 0.069
0.931 0.931 0.931
0.500 0.500 0.500
```

Total magnetization   0.00 μB/f.u.
Space-group type   R-3m, No. 166
ΔE_f (raw)   169.0 kJ/mol of atoms

Entry 8:
CaAc2Th after structural relaxation. Source: Alexandria, functional PBE.

```
CaAc2Th
1.0
3.826 0.000 0.000
0.000 3.826 0.000
0.000 0.000 11.114
Th Ac Ca
1 2 1
direct
0.500 0.500 0.000
0.000 0.000 0.228
0.000 0.000 0.772
0.500 0.500 0.500
```

Total magnetization   0.00 μB/f.u.
Space-group type   P4/mmm, No. 123
Energy of formation from the pure elements   0.073 eV/atom

Entry 9:
TaHgSeN2 after structural relaxation. Source: Alexandria, functional PBE.

```
TaHgSeN2
1.0
4.017 0.000 0.000
0.000 4.017 0.000
0.000 0.000 5.591
N Ta Hg Se
2 1 1 1
direct
0.000 0.500 0.000
0.500 0.000 0.000
0.000 0.000 0.000
0.500 0.500 0.500
0.000 0.000 0.500
```

Total magnetization   0.00 μB/f.u.
Space-group type   P4/mmm, No. 123
ΔE_f (raw)   17.1 kJ/mol of atoms

Entry 10:
SmLu2Ge after structural relaxation. Source: Alexandria, functional PBE.

```
SmLu2Ge
1.0
3.492 0.000 0.000
1.746 3.024 0.000
1.746 1.008 10.884
Sm Lu Ge
1 2 1
direct
0.000 0.000 0.000
0.895 0.895 0.314
0.105 0.105 0.686
0.500 0.500 0.500
```

Total magnetization   0.00 μB/f.u.
Space-group type   R-3m, No. 166
Energy of formation from the pure elements   -0.049 eV/atom

Entry 11:
SrRu3 after structural relaxation. Source: Alexandria, functional PBE.

```
SrRu3
1.0
-4.157 2.173 3.168
-0.931 -4.830 2.092
6.168 1.786 6.868
Sr Ru
4 12
direct
0.862 0.486 0.750
0.138 0.514 0.250
0.638 0.986 0.750
0.362 0.014 0.250
0.157 0.926 0.750
0.864 0.808 0.027
0.657 0.574 0.250
0.843 0.074 0.250
0.636 0.308 0.027
0.636 0.308 0.473
0.364 0.692 0.527
0.343 0.426 0.750
0.136 0.192 0.973
0.364 0.692 0.973
0.136 0.192 0.527
0.864 0.808 0.473
```

Total magnetization   0.00 μB/f.u.
Space-group type   Pnma, No. 62
Energy of formation from the pure elements   0.616 eV/atom

Entry 12:
CaTbDy2Bi4 after structural relaxation. Source: Alexandria, functional PBE.

```
CaTbDy2Bi4
1.0
4.481 0.000 0.000
0.000 7.840 -0.180
0.000 2.735 7.345
Ca Bi Dy Tb
1 4 2 1
direct
0.000 0.500 0.500
0.500 0.244 0.755
0.000 0.247 0.248
0.000 0.753 0.752
0.500 0.756 0.245
0.000 0.000 0.000
0.500 0.000 0.500
0.500 0.500 0.000
```

Total magnetization   0.00 μB/f.u.
Space-group type   P2/m, No. 10
Energy of formation from the pure elements   -0.810 eV/atom